Record 1
# Sm2TlIr PBE-GGA optimized geometry
data_Sm2TlIr
_cell_length_a 4.1043
_cell_length_b 4.1043
_cell_length_c 24.1570
_cell_angle_alpha 90.00
_cell_angle_beta 90.00
_cell_angle_gamma 120.00
_space_group_name_H-M_alt 'R 3 m'
_space_group_IT_number 160
_space_group_name_Hall 'R 3 -2"'
loop_
_atom_site_label
_atom_site_type_symbol
_atom_site_fract_x
_atom_site_fract_y
_atom_site_fract_z
Sm1 Sm 0.0000 0.0000 0.0000
Sm2 Sm 0.0000 0.0000 0.2061
Tl1 Tl 0.0000 0.0000 0.4370
Ir1 Ir 0.0000 0.0000 0.6024
# ΔE_f	-0.480	eV/atom
# density of states at the Fermi level	6.68	states/eV per cell
# total magnetization	0.0	μB per cell
# crystal system	trigonal


Record 2
# Ce2Se2O PBE-GGA optimized geometry
data_Ce2Se2O
_cell_length_a 6.5177
_cell_length_b 11.8649
_cell_length_c 5.9417
_cell_angle_alpha 90.00
_cell_angle_beta 90.00
_cell_angle_gamma 90.00
_space_group_name_H-M_alt 'I b a m'
_space_group_IT_number 72
_space_group_name_Hall '-I 2 2c'
loop_
_atom_site_label
_atom_site_type_symbol
_atom_site_fract_x
_atom_site_fract_y
_atom_site_fract_z
Ce1 Ce 0.2061 0.1044 0.0000
Se1 Se 0.1666 0.3538 0.0000
O1 O 0.0000 0.0000 0.2500
# density of states at the Fermi level	50.17	states/eV per cell
# ΔE_f (raw)	-2.374	eV per atom
# total magnetization	7.4	μB per cell
# crystal system	orthorhombic


Record 3
# IrC3Br PBE-GGA optimized geometry
data_IrC3Br
_cell_length_a 3.8274
_cell_length_b 3.8274
_cell_length_c 3.8274
_cell_angle_alpha 90.00
_cell_angle_beta 90.00
_cell_angle_gamma 90.00
_space_group_name_H-M_alt 'P m -3 m'
_space_group_IT_number 221
_space_group_name_Hall '-P 4 2 3'
loop_
_atom_site_label
_atom_site_type_symbol
_atom_site_fract_x
_atom_site_fract_y
_atom_site_fract_z
Ir1 Ir 0.0000 0.0000 0.0000
C1 C 0.0000 0.5000 0.5000
Br1 Br 0.5000 0.5000 0.5000
# density of states at the Fermi level	2.00	states/eV per cell
# ΔE_f (raw)	3.637	eV per atom
# total magnetization	0.0	μB per cell
# crystal system	cubic


Record 4
# Ce8Ir3OsI4 PBE-GGA optimized geometry
data_Ce8Ir3OsI4
_cell_length_a 8.3196
_cell_length_b 8.3196
_cell_length_c 23.8884
_cell_angle_alpha 90.00
_cell_angle_beta 90.00
_cell_angle_gamma 120.00
_space_group_name_H-M_alt 'R -3 m'
_space_group_IT_number 166
_space_group_name_Hall '-R 3 2"'
loop_
_atom_site_label
_atom_site_type_symbol
_atom_site_fract_x
_atom_site_fract_y
_atom_site_fract_z
Ce1 Ce 0.0000 0.0000 0.2282
Ce2 Ce 0.0038 0.5019 0.2283
Ir1 Ir 0.0000 0.5000 0.5000
Os1 Os 0.0000 0.0000 0.5000
I1 I 0.0000 0.0000 0.0000
I2 I 0.0000 0.5000 0.0000
# density of states at the Fermi level	137.21	states/eV per cell
# ΔE_f (raw)	-0.847	eV per atom
# total magnetization	19.8	μB per cell
# crystal system	trigonal